Entry 1:
## BaLaSi2 (SCAN)

Data for a PBEsol-optimized structure of BaLaSi2.

Cell: 3.9757 4.6107 11.9307 Å, 90.00 90.00 90.00°
Closest atoms and distances in Å follow each position.
Space group Amm2 (No. 38)
Inequivalent atoms, fractional coordinates:
1 Ba 0.0000 0.0000 0.0000 x2  7 Si 3.25-3.46
2 La 0.5000 0.0000 0.2837 x2  6 Si 3.15-3.22
3 Si 0.0000 0.0000 0.7165 x2  2 Si 2.46
4 Si 0.5000 0.0000 0.5958 x2  2 Si 2.46

Output
- Energy relative to the elements, uncorrected: -0.537 eV per atom
- E above lowest polymorph: 0.096 eV/atom
- Final energy: -26.209 eV/atom


Entry 2:
## BaLaSi2 (SCAN)

Data for a PBEsol-optimized structure of BaLaSi2.

Cell: 4.5572 14.6694 6.6999 Å, 90.00 90.00 90.00°
Closest atoms and distances in Å follow each position.
Space group Cmcm (No. 63)
Inequivalent atoms, fractional coordinates:
1 Ba 0.0000 0.2235 0.2500 x4  6 Si 3.36-3.62
2 La 0.0000 0.0489 0.7500 x4  8 Si 3.14-3.18
3 Si 0.0000 0.4231 0.5675 x8  2 Si 2.43-2.45

Output
- Energy relative to the elements, uncorrected: -0.633 eV per atom
- E above lowest polymorph: 0.000 eV/atom
- Final energy: -26.305 eV/atom


Entry 3:
## BaLaSi2 (SCAN)

Data for a PBEsol-optimized structure of BaLaSi2.

Cell: 4.3949 4.3949 6.4437 Å, 90.00 90.00 90.00°
Closest atoms and distances in Å follow each position.
Space group P4mm (No. 99)
Inequivalent atoms, fractional coordinates:
1 Ba 0.0000 0.0000 0.0000 x1  6 Si 3.13-3.31
2 La 0.5000 0.5000 0.4560 x1  5 Si 2.99-3.13
3 Si 0.0000 0.0000 0.5135 x1  4 La 3.13, 2 Ba 3.13-3.31
4 Si 0.5000 0.5000 0.9195 x1  1 La 2.99, 4 Ba 3.15

Output
- Energy relative to the elements, uncorrected: 0.041 eV per atom
- E above lowest polymorph: 0.674 eV/atom
- Final energy: -25.631 eV/atom


Entry 4:
## BaLaSi3 (SCAN)

Data for a PBEsol-optimized structure of BaLaSi3.

Cell: 5.3275 5.3275 5.3275 Å, 90.00 90.00 90.00°
Closest atoms and distances in Å follow each position.
Space group Pm-3m (No. 221)
Inequivalent atoms, fractional coordinates:
1 Ba 0.0000 0.0000 0.0000 x1  6 Si 2.66
2 La 0.5000 0.5000 0.5000 x1  12 Si 3.77
3 Si 0.0000 0.0000 0.5000 x3  2 Ba 2.66

Output
- Energy relative to the elements, uncorrected: 1.101 eV per atom
- Final energy: -21.440 eV/atom


Entry 5:
## BaLa2TlSn (SCAN)

Data for a PBEsol-optimized structure of BaLa2TlSn.

Cell: 5.8038 5.8038 5.8079 Å, 90.00 90.00 90.00°
Closest atoms and distances in Å follow each position.
Space group P4/mmm (No. 123)
Inequivalent atoms, fractional coordinates:
1 Ba 0.0000 0.0000 0.0000 x1  4 La 2.90, 2 Tl 2.90
2 La 0.0000 0.5000 0.0000 x2  2 Ba 2.90
3 Tl 0.0000 0.0000 0.5000 x1  2 Ba 2.90
4 Sn 0.5000 0.5000 0.5000 x1  4 Tl 4.10, 8 La 4.11

Output
- Final energy: -46.006 eV/atom
- E_form: 4.0 eV per formula unit


Entry 6:
## BaLaTa2 (SCAN)

Data for a PBEsol-optimized structure of BaLaTa2.

Cell: 3.0662 5.1483 6.6673 Å, 90.00 90.00 90.00°
Closest atoms and distances in Å follow each position.
Space group Pmmm (No. 47)
Inequivalent atoms, fractional coordinates:
1 Ba 0.0000 0.0000 0.0000 x1  2 Ba 3.07, 2 La 3.33
2 La 0.0000 0.0000 0.5000 x1  2 La 3.07, 8 Ta 3.28, 2 Ba 3.33
3 Ta 0.5000 0.5000 0.3000 x2  1 Ta 2.67

Output
- E above lowest polymorph: 0.519 eV/atom
- Final energy: -52.938 eV/atom
- E_form: 4.1 eV per formula unit